[1]
CdCoOs2 after structural relaxation. Source: the Alexandria database, functional PBE-GGA.

Space group ... No. 123
Uncorrected energy ... -27.53 eV per cell
DOS at the Fermi energy ... 5.39 states/eV/f.u.
Size of the total moment ... 0.00 μB/f.u.
Energy relative to the elements ... 737 meV/atom

The structure in POSCAR format:
```
CdCoOs2
1.0
-2.8482 1.3428 2.8446
0.4909 -3.1273 1.9679
2.7191 1.6499 1.9437
Os Cd Co
2 1 1
Cartesian
0.0000 0.0000 0.0000
1.6050 -0.7387 1.9558
-1.1786 -0.8922 2.4062
-0.0645 1.4964 2.3941
```

***

[2]
ZrTl2Rh after structural relaxation. Source: the Alexandria database, functional PBE-GGA.

Space group ... No. 225
Uncorrected energy ... -20.40 eV per cell
DOS at the Fermi energy ... 4.91 states/eV/f.u.
Size of the total moment ... 0.00 μB/f.u.
Energy relative to the elements ... 58 meV/atom

The structure in POSCAR format:
```
ZrTl2Rh
1.0
0.0000 3.4441 3.4441
3.4441 0.0000 3.4441
3.4441 3.4441 0.0000
Tl Zr Rh
2 1 1
Cartesian
5.1662 5.1662 5.1662
1.7221 1.7221 1.7221
0.0000 0.0000 0.0000
3.4441 3.4441 3.4441
```

***

[3]
Ca2AlRu after structural relaxation. Source: the Alexandria database, functional PBE-GGA.

Space group ... No. 166
Uncorrected energy ... -15.77 eV per cell
DOS at the Fermi energy ... 3.24 states/eV/f.u.
Size of the total moment ... 0.06 μB/f.u.
Polymorph energy (0 for the lowest one) ... 0.517 eV per atom
Energy relative to the elements ... 313 meV/atom

The structure in POSCAR format:
```
Ca2AlRu
1.0
-7.1990 -5.1708 4.1497
-4.8192 -7.5080 4.0236
-4.9042 -5.3482 6.5673
Ca Ru Al
2 1 1
Cartesian
-16.7567 -17.8505 14.5963
-8.6269 -9.1900 7.5146
-4.2306 -4.5067 3.6851
-12.6918 -13.5202 11.0554
```

***

[4]
LiNpFeRu after structural relaxation. Source: the Alexandria database, functional PBE-GGA.

Space group ... No. 216
Uncorrected energy ... -32.16 eV per cell
DOS at the Fermi energy ... 6.10 states/eV/f.u.
Size of the total moment ... 1.88 μB/f.u.
Energy relative to the elements ... 108 meV/atom

The structure in POSCAR format:
```
LiNpFeRu
1.0
4.3876 0.0000 0.0000
2.1938 3.7998 0.0000
2.1938 1.2666 3.5825
Fe Ru Np Li
1 1 1 1
Cartesian
4.3876 2.5332 1.7912
0.0000 0.0000 0.0000
2.1938 1.2666 0.8956
6.5814 3.7998 2.6868
```

***

[5]
CrHgIr2 after structural relaxation. Source: the Alexandria database, functional PBE-GGA.

Space group ... No. 65
Uncorrected energy ... -26.30 eV per cell
DOS at the Fermi energy ... 3.96 states/eV/f.u.
Size of the total moment ... 2.57 μB/f.u.
Energy relative to the elements ... 337 meV/atom

The structure in POSCAR format:
```
CrHgIr2
1.0
-0.8155 2.5096 -0.9174
-0.6418 -2.2603 -1.5112
-8.0936 -0.8878 4.7656
Ir Hg Cr
2 1 1
Cartesian
-0.2562 -0.0281 0.1508
-3.7906 -0.4158 2.2319
-6.7989 -0.5412 2.3599
-2.7521 -0.0973 -0.0229
```

***

[6]
LiMg2MoH6 after structural relaxation. Source: the Alexandria database, functional PBE-GGA.

Space group ... No. 12
Uncorrected energy ... -37.60 eV per cell
DOS at the Fermi energy ... 2.55 states/eV/f.u.
Size of the total moment ... 1.01 μB/f.u.

The structure in POSCAR format:
```
LiMg2MoH6
1.0
4.9881 -0.0525 -0.0030
-0.0518 4.9883 -0.0020
2.4663 2.4656 3.4743
H Li Mo Mg
6 1 1 2
Cartesian
2.8478 2.8468 1.7244
4.5548 4.5546 1.7449
1.1992 3.7359 -0.0012
6.2034 3.6655 3.4705
1.2455 1.2446 0.5293
6.1571 6.1567 2.9400
0.0000 0.0000 0.0000
2.4682 2.4679 -0.0025
2.4419 4.9599 1.7350
4.9607 2.4414 1.7343
```